Na2GeP after structural relaxation. Source: Alexandria via LeMat-Bulk, functional PBE.

Cell: 4.8808 4.8808 4.8808 Å, 60.00 60.00 60.00°
Last column: nearest neighbours and their distance in Å.
Positions (direct):
P  0.0000  0.0000  0.0000  8 Na 2.99
Ge  0.5000  0.5000  0.5000  8 Na 2.99
Na  0.2500  0.2500  0.2500  4 Ge 2.99, 4 P 2.99
Na  0.7500  0.7500  0.7500  4 Ge 2.99, 4 P 2.99

energy of formation = 11.4 kJ/mol of atoms

=====

Nd2CuPd3Au12 after structural relaxation. Source: Alexandria via LeMat-Bulk, functional PBE.

Cell: 9.6765 9.6765 9.6765 Å, 43.75 43.75 43.75°
Last column: nearest neighbours and their distance in Å.
Positions (direct):
Nd  0.6508  0.6508  0.6508  6 Au 2.99-3.08
Nd  0.3492  0.3492  0.3492  6 Au 2.99-3.08
Cu  0.0000  0.0000  0.0000  6 Au 2.50
Pd  0.5000  0.0000  0.0000  6 Au 2.70-2.79
Pd  0.0000  0.5000  0.0000  6 Au 2.70-2.79
Pd  0.0000  0.0000  0.5000  6 Au 2.70-2.79
Au  0.4216  0.4216  0.8084  2 Pd 2.70, 4 Au 2.79-2.81
Au  0.9054  0.9054  0.3708  1 Cu 2.50, 1 Pd 2.79
Au  0.3708  0.9054  0.9054  1 Cu 2.50, 1 Pd 2.79
Au  0.8084  0.4216  0.4216  2 Pd 2.70, 4 Au 2.79-2.81
Au  0.9054  0.3708  0.9054  1 Cu 2.50, 1 Pd 2.79
Au  0.4216  0.8084  0.4216  2 Pd 2.70, 4 Au 2.79-2.81
Au  0.5784  0.5784  0.1916  2 Pd 2.70, 4 Au 2.79-2.81
Au  0.0946  0.0946  0.6292  1 Cu 2.50, 1 Pd 2.79
Au  0.6292  0.0946  0.0946  1 Cu 2.50, 1 Pd 2.79
Au  0.1916  0.5784  0.5784  2 Pd 2.70, 4 Au 2.79-2.81
Au  0.0946  0.6292  0.0946  1 Cu 2.50, 1 Pd 2.79
Au  0.5784  0.1916  0.5784  2 Pd 2.70, 4 Au 2.79-2.81

energy of formation = -4.8 kJ/mol of atoms

=====

Y2AlNi after structural relaxation. Source: Alexandria via LeMat-Bulk, functional PBE.

Cell: 6.0429 6.0429 4.8473 Å, 66.35 66.35 32.51°
Last column: nearest neighbours and their distance in Å.
Positions (direct):
Y  0.0389  0.0389  0.9611  2 Ni 2.99, 4 Al 3.12, 2 Y 3.26
Y  0.2454  0.2454  0.2546  4 Ni 2.97, 2 Al 3.20, 2 Y 3.26
Ni  0.7723  0.7723  0.7278  2 Al 2.47
Al  0.4435  0.4435  0.5565  2 Ni 2.47

energy of formation = -32.2 kJ/mol of atoms

=====

Ac9Co3Pb after structural relaxation. Source: Alexandria via LeMat-Bulk, functional PBE.

Cell: 7.3289 11.1289 12.1663 Å, 90.00 96.39 90.00°
Last column: nearest neighbours and their distance in Å.
Positions (direct):
Ac  0.1426  0.2500  0.9800  2 Co 2.99
Ac  0.1560  0.9374  0.8042  2 Co 2.84-2.88
Ac  0.1560  0.5626  0.8042  2 Co 2.84-2.88
Ac  0.2472  0.9525  0.4545  2 Co 2.93-2.96
Ac  0.2472  0.5475  0.4545  2 Co 2.93-2.96
Ac  0.3094  0.2500  0.6537  2 Co 2.91
Ac  0.3360  0.9316  0.1277  2 Co 2.82-2.86
Ac  0.3360  0.5684  0.1277  2 Co 2.82-2.86
Ac  0.4446  0.2500  0.3070  2 Co 2.94
Ac  0.5554  0.7500  0.6930  2 Co 2.94
Ac  0.6640  0.0684  0.8723  2 Co 2.82-2.86
Ac  0.6640  0.4316  0.8723  2 Co 2.82-2.86
Ac  0.6906  0.7500  0.3463  2 Co 2.91
Ac  0.7528  0.0475  0.5455  2 Co 2.93-2.96
Ac  0.7528  0.4525  0.5455  2 Co 2.93-2.96
Ac  0.8440  0.0626  0.1958  2 Co 2.84-2.88
Ac  0.8440  0.4374  0.1958  2 Co 2.84-2.88
Ac  0.8574  0.7500  0.0200  2 Co 2.99
Co  0.0000  0.0000  0.0000  6 Ac 2.84-2.99
Co  0.0000  0.5000  0.0000  6 Ac 2.84-2.99
Co  0.4459  0.4956  0.6750  6 Ac 2.82-2.96
Co  0.4459  0.0044  0.6750  6 Ac 2.82-2.96
Co  0.5541  0.9956  0.3250  6 Ac 2.82-2.96
Co  0.5541  0.5044  0.3250  6 Ac 2.82-2.96
Pb  0.0193  0.2500  0.4078  8 Ac 3.45-3.72
Pb  0.9807  0.7500  0.5922  8 Ac 3.45-3.72

energy of formation = -6.0 kJ/mol of atoms

=====

LaDyErPu after structural relaxation. Source: Alexandria via LeMat-Bulk, functional PBE.

Cell: 5.6370 5.6370 5.6370 Å, 60.00 60.00 60.00°
Last column: nearest neighbours and their distance in Å.
Positions (direct):
Er  0.0000  0.0000  0.0000  4 La 3.45, 4 Dy 3.45
La  0.2500  0.2500  0.2500  4 Er 3.45, 4 Pu 3.45
Dy  0.7500  0.7500  0.7500  4 Er 3.45, 4 Pu 3.45
Pu  0.5000  0.5000  0.5000  4 La 3.45, 4 Dy 3.45

energy of formation = 19.5 kJ/mol of atoms

=====

YCu2Si after structural relaxation. Source: Alexandria via LeMat-Bulk, functional PBE.

Cell: 4.5453 4.5453 4.5453 Å, 60.00 60.00 60.00°
Last column: nearest neighbours and their distance in Å.
Positions (direct):
Cu  0.0000  0.0000  0.0000  4 Cu 2.78, 4 Y 2.78
Cu  0.2500  0.2500  0.2500  4 Cu 2.78, 4 Si 2.78
Si  0.5000  0.5000  0.5000  4 Cu 2.78, 4 Y 2.78
Y  0.7500  0.7500  0.7500  4 Cu 2.78, 4 Si 2.78

formation energy from raw total energies = -0.178 eV/atom

=====

CeErMg2Au4 after structural relaxation. Source: Alexandria via LeMat-Bulk, functional PBE.

Cell: 4.9404 4.9404 8.5834 Å, 73.27 73.27 60.00°
Last column: nearest neighbours and their distance in Å.
Positions (direct):
Ce  0.0000  0.0000  0.0000  8 Au 3.06-3.11
Er  0.5000  0.5000  0.5000  8 Au 2.94-3.00
Mg  0.7513  0.7513  0.7460  8 Au 2.93-3.16
Mg  0.2487  0.2487  0.2540  8 Au 2.93-3.16
Au  0.3789  0.3789  0.8633  1 Er 2.94, 4 Mg 3.01-3.16, 3 Ce 3.06
Au  0.8721  0.8721  0.3836  4 Mg 2.93-3.04, 3 Er 3.00, 1 Ce 3.11
Au  0.1279  0.1279  0.6164  4 Mg 2.93-3.04, 3 Er 3.00, 1 Ce 3.11
Au  0.6211  0.6211  0.1367  1 Er 2.94, 4 Mg 3.01-3.16, 3 Ce 3.06

energy of formation = -69.5 kJ/mol of atoms

=====

LaCdRh3 after structural relaxation. Source: Alexandria via LeMat-Bulk, functional PBE.

Cell: 4.9278 4.9278 4.9278 Å, 90.00 90.00 90.00°
Last column: nearest neighbours and their distance in Å.
Positions (direct):
Cd  0.5000  0.5000  0.5000  12 Rh 3.48
Rh  0.0000  0.5000  0.0000  2 La 2.46
Rh  0.0000  0.0000  0.5000  2 La 2.46
Rh  0.5000  0.0000  0.0000  2 La 2.46
La  0.0000  0.0000  0.0000  6 Rh 2.46

energy of formation = 82.6 kJ/mol of atoms

=====

ScTa2Al after structural relaxation. Source: Alexandria via LeMat-Bulk, functional PBE.

Cell: 2.8851 2.8851 9.2197 Å, 90.00 90.00 103.12°
Last column: nearest neighbours and their distance in Å.
Positions (direct):
Sc  0.5000  0.5000  0.7467  4 Sc 2.89, 2 Al 2.97, 2 Ta 3.00
Al  0.0000  0.0000  0.4895  4 Ta 2.80-3.12, 4 Al 2.89, 2 Sc 2.97
Ta  0.0000  0.0000  0.0078  8 Ta 2.89-3.22, 2 Sc 3.00
Ta  0.5000  0.5000  0.2559  4 Al 2.80-3.12, 6 Ta 2.89-2.91

energy of formation = -6.2 kJ/mol of atoms

=====

Sr2CdAg after structural relaxation. Source: Alexandria via LeMat-Bulk, functional PBE.

Cell: 7.5761 7.5761 7.5761 Å, 150.29 60.89 128.16°
Last column: nearest neighbours and their distance in Å.
Positions (direct):
Sr  0.7658  0.0000  0.7658  1 Ag 3.06
Sr  0.2342  0.0000  0.2342  1 Ag 3.06
Cd  0.5000  0.0000  0.5000  2 Sr 3.47, 4 Ag 3.84, 2 Cd 3.88
Ag  0.0000  0.0000  0.0000  2 Sr 3.06

energy of formation = 41.6 kJ/mol of atoms

=====

| no. | spin magnetization (μB per cell) |
| --- | --- |
| 1 | 0.0 |
| 2 | 0.0 |
| 3 | 0.0 |
| 4 | 0.0 |
| 5 | 7.5 |
| 6 | 0.0 |
| 7 | 0.7 |
| 8 | 0.0 |
| 9 | 0.0 |
| 10 | 0.0 |